[1]
## RbGaC (PBE)

Data for crystalline RbGaC at its relaxed geometry.

Cell: 5.800 5.800 6.986 Å, 118.45 118.45 51.37°
Positions (direct):
Rb 0.113 0.113 0.364
Rb 0.887 0.887 0.636
Ga 0.307 0.307 0.043
Ga 0.693 0.693 0.957
C 0.458 0.458 0.891
C 0.542 0.542 0.109

Results
Uncorrected energy: -4.022 eV per atom
Formation energy from the elements: 0.38 eV per atom



[2]
## Be2AsW (PBE)

Data for crystalline Be2AsW at its relaxed geometry.

Cell: 2.772 2.772 8.343 Å, 90.00 90.00 97.70°
Positions (direct):
Be 0.000 0.000 0.000
Be 0.500 0.500 0.119
As 0.000 0.000 0.563
W 0.500 0.500 0.800

Results
Uncorrected energy: -5.773 eV per atom
Formation energy from the elements: 0.49 eV per atom



[3]
## Nd3Tm12Pu (PBE)

Data for crystalline Nd3Tm12Pu at its relaxed geometry.

Cell: 4.981 4.981 19.845 Å, 90.00 90.00 90.00°
Positions (direct):
Nd 0.000 0.000 0.000
Nd 0.000 0.000 0.253
Nd 0.000 0.000 0.747
Tm 0.000 0.500 0.127
Tm 0.000 0.500 0.380
Tm 0.000 0.500 0.620
Tm 0.000 0.500 0.873
Tm 0.500 0.000 0.127
Tm 0.500 0.000 0.380
Tm 0.500 0.000 0.620
Tm 0.500 0.000 0.873
Tm 0.500 0.500 0.000
Tm 0.500 0.500 0.253
Tm 0.500 0.500 0.500
Tm 0.500 0.500 0.747
Pu 0.000 0.000 0.500

Results
Uncorrected energy: -5.096 eV per atom
Formation energy from the elements: 0.05 eV per atom



[4]
## Co2WAu (PBE)

Data for crystalline Co2WAu at its relaxed geometry.

Cell: 3.967 3.967 3.427 Å, 90.00 90.00 90.00°
Positions (direct):
Co 0.000 0.500 0.000
Co 0.500 0.000 0.000
W 0.000 0.000 0.500
Au 0.500 0.500 0.500

Results
Uncorrected energy: -7.303 eV per atom
Formation energy from the elements: 0.31 eV per atom
Polymorph energy (0 for the lowest one): 0.609 eV/f.u.



[5]
## TlCuW2 (PBE)

Data for crystalline TlCuW2 at its relaxed geometry.

Cell: 2.786 4.553 5.526 Å, 90.00 104.39 90.00°
Positions (direct):
Tl 0.000 0.000 0.000
Cu 0.500 0.000 0.500
W 0.244 0.500 0.725
W 0.756 0.500 0.275

Results
Uncorrected energy: -7.317 eV per atom
Formation energy from the elements: 0.78 eV per atom
Polymorph energy (0 for the lowest one): 0.904 eV/f.u.



[6]
## PmHfIr (PBE)

Data for crystalline PmHfIr at its relaxed geometry.

Cell: 4.728 4.728 4.728 Å, 60.00 60.00 60.00°
Positions (direct):
Pm 0.000 0.000 0.000
Hf 0.500 0.500 0.500
Ir 0.250 0.250 0.250

Results
Uncorrected energy: -8.261 eV per atom
Formation energy from the elements: -0.41 eV per atom
Polymorph energy (0 for the lowest one): 0.906 eV/f.u.



Repeat the fifth record exactly.
## TlCuW2 (PBE)

Data for crystalline TlCuW2 at its relaxed geometry.

Cell: 2.786 4.553 5.526 Å, 90.00 104.39 90.00°
Positions (direct):
Tl 0.000 0.000 0.000
Cu 0.500 0.000 0.500
W 0.244 0.500 0.725
W 0.756 0.500 0.275

Results
Uncorrected energy: -7.317 eV per atom
Formation energy from the elements: 0.78 eV per atom
Polymorph energy (0 for the lowest one): 0.904 eV/f.u.



Which of these has the highest formation energy from the elements? TlCuW2



Number 4 is which compound? Co2WAu



Number 3 is which compound? Nd3Tm12Pu